(1)
The following is a DFT calculation (GGA-PBE) of crystalline LaLuSnPd at its relaxed geometry.

The value obtained for the total energy is -5.3574 eV/atom. The calculated volume is 25.7 Å³ per atom. As for the energy of formation from the pure elements: -2.8 eV per formula unit.

a b c (Å): 5.259 5.259 5.259
angles (deg): 60.00 60.00 60.00
Atoms (fractional coordinates):
1 Pd 0.000 0.000 0.000
2 Sn 0.500 0.500 0.500
3 La 0.250 0.250 0.250
4 Lu 0.750 0.750 0.750



(2)
The following is a DFT calculation (GGA-PBE) of crystalline Pu3TcRh2 at its relaxed geometry.

The value obtained for the total energy is -11.6030 eV/atom. The calculated volume is 19.8 Å³ per atom. As for the energy of formation from the pure elements: -1.6 eV per formula unit.

a b c (Å): 3.448 4.801 14.323
angles (deg): 90.00 90.00 90.00
Each line ends with the local moment (μB).
Atoms (fractional coordinates):
1 Pu 0.499 0.000 0.500  -4.88
2 Pu 0.499 0.500 0.667  -5.01
3 Pu 0.501 0.500 0.000  -4.88
4 Pu 0.501 0.000 0.833  -5.01
5 Pu 0.501 0.000 0.167  -5.01
6 Pu 0.499 0.500 0.333  -5.01
7 Rh 0.999 0.000 0.664  0.33
8 Rh 0.001 0.500 0.164  0.33
9 Rh 0.001 0.500 0.836  0.33
10 Rh 0.999 0.000 0.336  0.33
11 Tc 0.001 0.000 0.000  0.94
12 Tc 0.999 0.500 0.500  0.94



(3)
The following is a DFT calculation (GGA-PBE) of crystalline La12AgPb3 at its relaxed geometry.

The value obtained for the total energy is -4.8647 eV/atom. The calculated volume is 32.3 Å³ per atom. As for the energy of formation from the pure elements: -4.7 eV per formula unit.

a b c (Å): 5.101 5.101 19.865
angles (deg): 90.00 90.00 90.00
Atoms (fractional coordinates):
1 La 0.500 0.000 0.879
2 La 0.000 0.500 0.627
3 La 0.500 0.000 0.121
4 La 0.000 0.500 0.879
5 La 0.500 0.000 0.373
6 La 0.500 0.000 0.627
7 La 0.000 0.500 0.373
8 La 0.500 0.500 0.755
9 La 0.500 0.500 0.000
10 La 0.500 0.500 0.245
11 La 0.000 0.500 0.121
12 La 0.500 0.500 0.500
13 Pb 0.000 0.000 0.245
14 Pb 0.000 0.000 0.755
15 Pb 0.000 0.000 0.500
16 Ag 0.000 0.000 0.000



(4)
The following is a DFT calculation (GGA-PBE) of crystalline BaRePd2C at its relaxed geometry.

The value obtained for the total energy is -4.8280 eV/atom. The calculated volume is 29.0 Å³ per atom. As for the energy of formation from the pure elements: 9.8 eV per formula unit.

a b c (Å): 4.764 6.390 4.764
angles (deg): 90.00 90.00 90.00
Each line ends with the local moment (μB).
Atoms (fractional coordinates):
1 Ba 0.000 0.500 0.000  0.05
2 Re 0.000 0.000 0.000  -0.14
3 C 0.500 0.500 0.500  1.02
4 Pd 0.500 0.000 0.000  -0.03
5 Pd 0.000 0.000 0.500  -0.05



(5)
The following is a DFT calculation (GGA-PBE) of crystalline Na3GeC at its relaxed geometry.

The value obtained for the total energy is -2.5436 eV/atom. The calculated volume is 23.0 Å³ per atom. As for the energy of formation from the pure elements: 5.1 eV per formula unit.

a b c (Å): 4.863 4.863 4.863
angles (deg): 90.00 90.00 90.00
Atoms (fractional coordinates):
1 Na 0.500 0.000 0.000
2 Na 0.000 0.000 0.500
3 Na 0.000 0.500 0.000
4 C 0.000 0.000 0.000
5 Ge 0.500 0.500 0.500



(6)
The following is a DFT calculation (GGA-PBE) of crystalline Ga3Pd8 at its relaxed geometry.

The value obtained for the total energy is -4.8089 eV/atom. The calculated volume is 16.8 Å³ per atom. As for the energy of formation from the pure elements: -2.3 eV per formula unit.

a b c (Å): 5.693 5.693 5.693
angles (deg): 89.46 89.46 89.46
Atoms (fractional coordinates):
1 Pd 0.635 0.635 0.635
2 Pd 0.365 0.365 0.365
3 Pd 0.866 0.114 0.686
4 Pd 0.134 0.886 0.314
5 Pd 0.686 0.866 0.114
6 Pd 0.114 0.686 0.866
7 Pd 0.886 0.314 0.134
8 Pd 0.314 0.134 0.886
9 Ga 0.500 0.500 0.000
10 Ga 0.000 0.500 0.500
11 Ga 0.500 0.000 0.500



(7)
The following is a DFT calculation (GGA-PBE) of crystalline LaDy2NpO8 at its relaxed geometry.

The value obtained for the total energy is -8.7531 eV/atom. The calculated volume is 13.5 Å³ per atom. The formation energy (no corrections) comes out at -3192 meV per atom.

a b c (Å): 3.950 5.434 7.543
angles (deg): 90.00 90.00 94.16
Atoms (fractional coordinates):
1 Np 0.000 0.000 0.000
2 La 0.000 0.000 0.500
3 O 0.547 0.776 0.000
4 O 0.029 0.759 0.215
5 O 0.971 0.241 0.785
6 O 0.493 0.738 0.500
7 O 0.453 0.224 0.000
8 O 0.971 0.241 0.215
9 O 0.029 0.759 0.785
10 O 0.507 0.262 0.500
11 Dy 0.500 0.500 0.256
12 Dy 0.500 0.500 0.744



(8)
The following is a DFT calculation (GGA-PBE) of crystalline Tb2Y2Ho3 at its relaxed geometry.

The value obtained for the total energy is -5.1112 eV/atom. The calculated volume is 31.6 Å³ per atom. As for the energy of formation from the pure elements: 0.1 eV per formula unit. The value obtained for the relative energy among the computed polymorphs is 0.000 eV/atom.

a b c (Å): 3.542 8.695 7.945
angles (deg): 111.46 102.88 90.00
Atoms (fractional coordinates):
1 Ho 0.714 0.142 0.427
2 Ho 0.286 0.858 0.573
3 Ho 0.000 0.000 0.000
4 Y 0.572 0.715 0.144
5 Y 0.428 0.285 0.856
6 Tb 0.856 0.573 0.713
7 Tb 0.144 0.427 0.287



Which formula does entry 2 have? Pu3TcRh2



Which formula does entry 8 have? Tb2Y2Ho3



Among the records above, which one has the lowest calculated volume? LaDy2NpO8



Which of these has the highest calculated volume? La12AgPb3